This record from Alexandria via LeMat-Bulk describes Cd2TeAs after structural relaxation. The functional is PBE.

Lattice parameters (Å, degrees): 3.138 3.138 10.306 90.00 90.00 100.03
Atoms (fractional coordinates):
Cd 0.000 0.000 0.000
Cd 0.500 0.500 0.228
Te 0.000 0.000 0.485
As 0.500 0.500 0.803

## Properties
Offset from the most stable computed form, eV/atom: 0.3289
Formation energy from raw total energies, eV per atom: 0.20
DOS(E_F), states/eV per cell: 1.983
Space-group type: Cmm2 (35)
ρ, g cm⁻³: 7.10